<P>
An optimized crystal structure of AsC, computed with PBE.

Lattice parameters (Å, degrees): 3.122 3.122 23.914 90.00 90.00 120.00
Fractional coordinates of all 12 atoms:
As: 0.000 0.000 0.738
As: 0.000 0.000 0.262
As: 0.333 0.667 0.405
As: 0.333 0.667 0.929
As: 0.667 0.333 0.071
As: 0.667 0.333 0.595
C: 0.000 0.000 0.031
C: 0.000 0.000 0.969
C: 0.333 0.667 0.698
C: 0.333 0.667 0.635
C: 0.667 0.333 0.365
C: 0.667 0.333 0.302

Symmetry: R-3m
Density (g/cm³): 4.290
Magnetization (μB/atom): 0.00

***

<Q>
An optimized crystal structure of AsC, computed with PBE.

Lattice parameters (Å, degrees): 3.191 4.286 4.496 90.00 90.00 90.00
Fractional coordinates of all 4 atoms:
As: 0.000 0.000 0.224
As: 0.500 0.500 0.609
C: 0.500 0.000 0.494
C: 0.000 0.500 0.339

Symmetry: Pmmn
Density (g/cm³): 4.696
Magnetization (μB/atom): 0.00

***

<R>
An optimized crystal structure of AsC, computed with PBE.

Lattice parameters (Å, degrees): 8.167 3.110 5.387 90.00 102.95 90.00
Fractional coordinates of all 8 atoms:
As: 0.082 0.000 0.685
As: 0.082 0.500 0.185
As: 0.516 0.000 0.833
As: 0.516 0.500 0.333
C: 0.203 0.000 0.393
C: 0.203 0.500 0.893
C: 0.395 0.000 0.458
C: 0.395 0.500 0.958

Symmetry: Cm
Density (g/cm³): 4.330
Magnetization (μB/atom): 0.00

***

<S>
An optimized crystal structure of AsC, computed with PBE.

Lattice parameters (Å, degrees): 12.438 12.438 12.438 11.90 11.90 11.90
Fractional coordinates of all 4 atoms:
As: 0.877 0.877 0.877
As: 0.123 0.123 0.123
C: 0.667 0.667 0.667
C: 0.333 0.333 0.333

Symmetry: R-3m
Density (g/cm³): 4.060
Magnetization (μB/atom): 0.00

***

It is <S> that is the most stable of them.

***

<P>
An optimized crystal structure of AsC, computed with PBE.

Lattice parameters (Å, degrees): 4.888 3.130 11.662 90.00 113.07 90.00
Fractional coordinates of all 8 atoms:
As: 0.743 0.000 0.909
As: 0.257 0.000 0.091
As: 0.743 0.500 0.409
As: 0.257 0.500 0.591
C: 0.593 0.000 0.470
C: 0.407 0.000 0.530
C: 0.593 0.500 0.970
C: 0.407 0.500 0.030

Symmetry: C2/m
Density (g/cm³): 3.517
Magnetization (μB/atom): 0.00

***

<Q>
An optimized crystal structure of AsC, computed with PBE.

Lattice parameters (Å, degrees): 3.186 4.438 11.094 90.00 90.00 90.00
Fractional coordinates of all 12 atoms:
As: 0.000 0.743 0.820
As: 0.500 0.257 0.680
As: 0.500 0.257 0.320
As: 0.000 0.743 0.180
As: 0.000 0.767 0.500
As: 0.500 0.233 0.000
C: 0.000 0.002 0.646
C: 0.500 0.998 0.854
C: 0.500 0.998 0.146
C: 0.000 0.002 0.354
C: 0.000 0.496 0.000
C: 0.500 0.504 0.500

Symmetry: Pmmn
Density (g/cm³): 5.522
Magnetization (μB/atom): 0.00

***

<R>
An optimized crystal structure of AsC, computed with PBE.

Lattice parameters (Å, degrees): 3.146 3.146 7.607 90.00 90.00 120.00
Fractional coordinates of all 4 atoms:
As: 0.000 0.000 0.905
As: 0.667 0.333 0.345
C: 0.000 0.000 0.438
C: 0.667 0.333 0.812

Symmetry: P-3m1
Density (g/cm³): 4.427
Magnetization (μB/atom): 0.00

***

<S>
An optimized crystal structure of AsC, computed with PBE.

Lattice parameters (Å, degrees): 5.078 5.078 7.320 90.00 90.00 144.80
Fractional coordinates of all 4 atoms:
As: 0.000 0.000 0.079
As: 0.500 0.500 0.671
C: 0.000 0.000 0.532
C: 0.500 0.500 0.218

Symmetry: Cmme
Density (g/cm³): 2.654
Magnetization (μB/atom): 0.00

***

It is <P> that is the most stable of them.

***

<P>
An optimized crystal structure of AsC, computed with PBE.

Lattice parameters (Å, degrees): 4.995 4.995 4.995 90.00 90.00 90.00
Fractional coordinates of all 8 atoms:
As: 0.226 0.726 0.774
As: 0.274 0.274 0.274
As: 0.774 0.226 0.726
As: 0.726 0.774 0.226
C: 0.593 0.093 0.407
C: 0.907 0.907 0.907
C: 0.407 0.593 0.093
C: 0.093 0.407 0.593

Symmetry: P2_13
Density (g/cm³): 4.634
Magnetization (μB/atom): 0.00

***

<Q>
An optimized crystal structure of AsC, computed with PBE.

Lattice parameters (Å, degrees): 4.421 4.421 6.816 90.00 90.00 120.00
Fractional coordinates of all 8 atoms:
As: 0.000 0.000 0.250
As: 0.000 0.000 0.750
As: 0.333 0.667 0.750
As: 0.667 0.333 0.250
C: 0.333 0.667 0.037
C: 0.667 0.333 0.537
C: 0.667 0.333 0.963
C: 0.333 0.667 0.463

Symmetry: P6_3/mmc
Density (g/cm³): 5.005
Magnetization (μB/atom): 0.00

***

It is <P> that is the most stable of them.

***

<P>
An optimized crystal structure of AsC, computed with PBE.

Lattice parameters (Å, degrees): 4.173 4.173 4.173 60.00 60.00 60.00
Fractional coordinates of all 4 atoms:
As: 0.000 0.000 0.000
As: 0.750 0.750 0.750
C: 0.500 0.500 0.500
C: 0.250 0.250 0.250

Symmetry: Fd-3m
Density (g/cm³): 5.618
Magnetization (μB/atom): 0.19

***

<Q>
An optimized crystal structure of AsC, computed with PBE.

Lattice parameters (Å, degrees): 4.280 4.843 5.428 73.08 67.06 63.81
Fractional coordinates of all 4 atoms:
As: 0.994 0.903 0.632
As: 0.938 0.382 0.260
C: 0.106 0.587 0.411
C: 0.415 0.587 0.411

Symmetry: P1
Density (g/cm³): 3.138
Magnetization (μB/atom): 0.00

***

It is <Q> that is the most stable of them.

***

<P>
An optimized crystal structure of AsC, computed with PBE.

Lattice parameters (Å, degrees): 6.984 6.984 4.142 90.00 90.00 120.00
Fractional coordinates of all 12 atoms:
As: 0.955 0.330 0.250
As: 0.625 0.955 0.750
As: 0.670 0.625 0.250
As: 0.045 0.670 0.750
As: 0.375 0.045 0.250
As: 0.330 0.375 0.750
C: 0.666 0.056 0.250
C: 0.610 0.666 0.750
C: 0.944 0.610 0.250
C: 0.334 0.944 0.750
C: 0.390 0.334 0.250
C: 0.056 0.390 0.750

Symmetry: P6_3/m
Density (g/cm³): 4.950
Magnetization (μB/atom): 0.00

***

<Q>
An optimized crystal structure of AsC, computed with PBE.

Lattice parameters (Å, degrees): 8.074 8.074 5.693 76.55 76.55 19.38
Fractional coordinates of all 6 atoms:
As: 0.721 0.721 0.334
As: 0.417 0.417 0.927
As: 0.343 0.343 0.527
C: 0.993 0.993 0.806
C: 0.077 0.077 0.657
C: 0.616 0.616 0.583

Symmetry: Cm
Density (g/cm³): 3.619
Magnetization (μB/atom): 0.00

***

It is <Q> that is the most stable of them.

***

<P>
An optimized crystal structure of AsC, computed with PBE.

Lattice parameters (Å, degrees): 6.169 6.169 5.573 66.27 66.27 29.20
Fractional coordinates of all 6 atoms:
As: 0.040 0.040 0.771
As: 0.325 0.325 0.647
As: 0.652 0.652 0.216
C: 0.644 0.644 0.579
C: 0.932 0.932 0.587
C: 0.239 0.239 0.033

Symmetry: Cm
Density (g/cm³): 4.602
Magnetization (μB/atom): 0.00

***

<Q>
An optimized crystal structure of AsC, computed with PBE.

Lattice parameters (Å, degrees): 2.594 2.594 25.068 90.00 90.00 120.00
Fractional coordinates of all 8 atoms:
As: 0.333 0.667 0.070
As: 0.667 0.333 0.570
As: 0.667 0.333 0.930
As: 0.333 0.667 0.430
C: 0.000 0.000 0.250
C: 0.000 0.000 0.750
C: 0.333 0.667 0.750
C: 0.667 0.333 0.250

Symmetry: P6_3/mmc
Density (g/cm³): 3.954
Magnetization (μB/atom): 0.00

***

<R>
An optimized crystal structure of AsC, computed with PBE.

Lattice parameters (Å, degrees): 3.181 3.258 7.195 47.75 90.00 90.00
Fractional coordinates of all 4 atoms:
As: 0.750 0.487 0.217
As: 0.250 0.513 0.783
C: 0.750 0.041 0.839
C: 0.250 0.959 0.161

Symmetry: P2_1/m
Density (g/cm³): 5.231
Magnetization (μB/atom): 0.00

***

It is <Q> that is the most stable of them.

***

<P>
An optimized crystal structure of AsC, computed with PBE.

Lattice parameters (Å, degrees): 3.115 3.115 5.578 90.00 90.00 90.00
Fractional coordinates of all 4 atoms:
As: 0.000 0.000 0.824
As: 0.500 0.500 0.426
C: 0.000 0.000 0.463
C: 0.500 0.500 0.787

Symmetry: P4/nmm
Density (g/cm³): 5.334
Magnetization (μB/atom): 0.00

***

<Q>
An optimized crystal structure of AsC, computed with PBE.

Lattice parameters (Å, degrees): 6.205 6.205 3.092 90.00 90.00 90.00
Fractional coordinates of all 8 atoms:
As: 0.328 0.328 0.000
As: 0.828 0.172 0.500
As: 0.172 0.828 0.500
As: 0.672 0.672 0.000
C: 0.310 0.690 0.000
C: 0.810 0.810 0.500
C: 0.190 0.190 0.500
C: 0.690 0.310 0.000

Symmetry: P4_2/mnm
Density (g/cm³): 4.849
Magnetization (μB/atom): 0.00

***

<R>
An optimized crystal structure of AsC, computed with PBE.

Lattice parameters (Å, degrees): 10.069 3.110 5.313 90.00 90.00 90.00
Fractional coordinates of all 12 atoms:
As: 0.819 0.187 0.281
As: 0.681 0.813 0.781
As: 0.181 0.187 0.281
As: 0.319 0.813 0.781
As: 0.000 0.427 0.713
As: 0.500 0.573 0.213
C: 0.775 0.301 0.639
C: 0.725 0.699 0.139
C: 0.225 0.301 0.639
C: 0.275 0.699 0.139
C: 0.000 0.968 0.449
C: 0.500 0.032 0.949

Symmetry: Pmn2_1
Density (g/cm³): 5.206
Magnetization (μB/atom): 0.00

***

It is <R> that is the most stable of them.

***

<P>
An optimized crystal structure of AsC, computed with PBE.

Lattice parameters (Å, degrees): 4.451 4.451 4.074 90.00 90.00 90.00
Fractional coordinates of all 6 atoms:
As: 0.500 0.500 0.000
As: 0.000 0.500 0.500
As: 0.500 0.000 0.500
C: 0.500 0.500 0.500
C: 0.500 0.000 0.000
C: 0.000 0.500 0.000

Symmetry: P4/mmm
Density (g/cm³): 5.367
Magnetization (μB/atom): 0.00

***

<Q>
An optimized crystal structure of AsC, computed with PBE.

Lattice parameters (Å, degrees): 3.431 3.431 3.431 60.00 60.00 60.00
Fractional coordinates of all 2 atoms:
As: 0.000 0.000 0.000
C: 0.750 0.750 0.750

Symmetry: F-43m
Density (g/cm³): 5.053
Magnetization (μB/atom): 0.00

***

<R>
An optimized crystal structure of AsC, computed with PBE.

Lattice parameters (Å, degrees): 5.828 7.419 3.166 77.68 74.24 24.42
Fractional coordinates of all 4 atoms:
As: 0.980 0.983 0.019
As: 0.937 0.601 0.731
C: 0.503 0.412 0.542
C: 0.413 0.171 0.208

Symmetry: C2/m
Density (g/cm³): 5.320
Magnetization (μB/atom): 0.00

***

<S>
An optimized crystal structure of AsC, computed with PBE.

Lattice parameters (Å, degrees): 2.932 2.932 3.028 90.00 90.00 90.00
Fractional coordinates of all 2 atoms:
As: 0.000 0.000 0.000
C: 0.500 0.500 0.000

Symmetry: P4/mmm
Density (g/cm³): 5.548
Magnetization (μB/atom): 0.00

***

It is <R> that is the most stable of them.

***

<P>
An optimized crystal structure of AsC, computed with PBE.

Lattice parameters (Å, degrees): 5.503 5.503 2.903 90.00 90.00 120.00
Fractional coordinates of all 6 atoms:
As: 0.000 0.000 0.000
As: 0.333 0.667 0.500
As: 0.667 0.333 0.500
C: 0.500 0.000 0.000
C: 0.000 0.500 0.000
C: 0.500 0.500 0.000

Symmetry: P6/mmm
Density (g/cm³): 5.688
Magnetization (μB/atom): 0.00

***

<Q>
An optimized crystal structure of AsC, computed with PBE.

Lattice parameters (Å, degrees): 5.803 5.803 5.803 90.00 90.00 90.00
Fractional coordinates of all 12 atoms:
As: 0.250 0.000 0.500
As: 0.750 0.000 0.500
As: 0.000 0.500 0.250
As: 0.000 0.500 0.750
As: 0.500 0.250 0.000
As: 0.500 0.750 0.000
C: 0.250 0.500 0.000
C: 0.750 0.500 0.000
C: 0.500 0.000 0.250
C: 0.500 0.000 0.750
C: 0.000 0.250 0.500
C: 0.000 0.750 0.500

Symmetry: Pm-3n
Density (g/cm³): 4.431
Magnetization (μB/atom): 0.00

***

It is <Q> that is the most stable of them.